No. 1
A relaxed TaGeTePt crystal. Source: the Alexandria database, functional PBE.

Summary:
**Crystal system**: trigonal
**Formation energy from raw total energies**: -0.15 eV/atom
**Distance to the lowest polymorph of the same formula**: 0.083 eV/atom

CIF file:
```
data_TaGeTePt
_cell_length_a 3.6086
_cell_length_b 3.6086
_cell_length_c 7.9176
_cell_angle_alpha 90.00
_cell_angle_beta 90.00
_cell_angle_gamma 120.00
_symmetry_space_group_name_H-M 'P 3 m 1'
_symmetry_Int_Tables_number 156
_symmetry_space_group_name_Hall 'P 3 -2"'
loop_
_atom_site_label
_atom_site_type_symbol
_atom_site_fract_x
_atom_site_fract_y
_atom_site_fract_z
Ta1 Ta 0.0000 0.0000 0.0000
Ge1 Ge 0.0000 0.0000 0.4054
Te1 Te 0.6667 0.3333 0.7558
Pt1 Pt 0.3333 0.6667 0.2067
```


No. 2
A relaxed TbHRu crystal. Source: the Alexandria database, functional PBE.

Summary:
**Crystal system**: orthorhombic
**Distance to the lowest polymorph of the same formula**: 0.000 eV/atom

CIF file:
```
data_TbHRu
_cell_length_a 15.617
_cell_length_b 3.491
_cell_length_c 3.491
_cell_angle_alpha 90.00
_cell_angle_beta 90.00
_cell_angle_gamma 90.00
_symmetry_space_group_name_H-M 'P n m a'
_symmetry_Int_Tables_number 62
_symmetry_space_group_name_Hall '-P 2ac 2n'
loop_
_atom_site_label
_atom_site_type_symbol
_atom_site_fract_x
_atom_site_fract_y
_atom_site_fract_z
Tb1 Tb 0.160 0.250 0.248
H1 H 0.194 0.750 0.747
Ru1 Ru 0.000 0.250 0.750
```


No. 3
A relaxed KP2Os crystal. Source: the Alexandria database, functional PBE.

Summary:
**Crystal system**: cubic
**Distance to the lowest polymorph of the same formula**: 1.517 eV/atom
**Energy of formation**: 1.36 eV/atom

CIF file:
```
data_KP2Os
_cell_length_a 6.481
_cell_length_b 6.481
_cell_length_c 6.481
_cell_angle_alpha 90.00
_cell_angle_beta 90.00
_cell_angle_gamma 90.00
_symmetry_space_group_name_H-M 'F -4 3 m'
_symmetry_Int_Tables_number 216
_symmetry_space_group_name_Hall 'F -4 2 3'
loop_
_atom_site_label
_atom_site_type_symbol
_atom_site_fract_x
_atom_site_fract_y
_atom_site_fract_z
K1 K 0.000 0.000 0.000
P1 P 0.000 0.000 0.500
P2 P 0.250 0.250 0.750
Os1 Os 0.250 0.250 0.250
```


No. 4
A relaxed NaAcRh crystal. Source: the Alexandria database, functional PBE.

Summary:
**Crystal system**: trigonal
**Distance to the lowest polymorph of the same formula**: 0.199 eV/atom
**Energy of formation**: -0.08 eV/atom

CIF file:
```
data_NaAcRh
_cell_length_a 4.2217
_cell_length_b 4.2217
_cell_length_c 6.3580
_cell_angle_alpha 90.00
_cell_angle_beta 90.00
_cell_angle_gamma 120.00
_symmetry_space_group_name_H-M 'P 3 m 1'
_symmetry_Int_Tables_number 156
_symmetry_space_group_name_Hall 'P 3 -2"'
loop_
_atom_site_label
_atom_site_type_symbol
_atom_site_fract_x
_atom_site_fract_y
_atom_site_fract_z
Na1 Na 0.0000 0.0000 0.0000
Ac1 Ac 0.3333 0.6667 0.4894
Rh1 Rh 0.6667 0.3333 0.2701
```


No. 5
A relaxed ZnSn2F4 crystal. Source: the Alexandria database, functional PBE.

Summary:
**Crystal system**: tetragonal
**Formation energy from raw total energies**: -1.63 eV/atom

CIF file:
```
data_ZnSn2F4
_cell_length_a 4.053
_cell_length_b 4.053
_cell_length_c 14.455
_cell_angle_alpha 90.00
_cell_angle_beta 90.00
_cell_angle_gamma 90.00
_symmetry_space_group_name_H-M 'I 4/m m m'
_symmetry_Int_Tables_number 139
_symmetry_space_group_name_Hall '-I 4 2'
loop_
_atom_site_label
_atom_site_type_symbol
_atom_site_fract_x
_atom_site_fract_y
_atom_site_fract_z
Zn1 Zn 0.000 0.000 0.000
Sn1 Sn 0.000 0.000 0.306
F1 F 0.000 0.000 0.145
F2 F 0.000 0.500 0.000
```


No. 6
A relaxed MnHg3Cl crystal. Source: the Alexandria database, functional PBE.

Summary:
**Crystal system**: cubic
**Formation energy from raw total energies**: 0.71 eV/atom
**Distance to the lowest polymorph of the same formula**: 0.572 eV/atom

CIF file:
```
data_MnHg3Cl
_cell_length_a 5.826
_cell_length_b 5.826
_cell_length_c 5.826
_cell_angle_alpha 90.00
_cell_angle_beta 90.00
_cell_angle_gamma 90.00
_symmetry_space_group_name_H-M 'P m -3 m'
_symmetry_Int_Tables_number 221
_symmetry_space_group_name_Hall '-P 4 2 3'
loop_
_atom_site_label
_atom_site_type_symbol
_atom_site_fract_x
_atom_site_fract_y
_atom_site_fract_z
Mn1 Mn 0.000 0.000 0.000
Hg1 Hg 0.000 0.500 0.500
Cl1 Cl 0.500 0.500 0.500
```


| no. | total magnetization (μB/f.u.) | uncorrected energy (eV per formula unit) |
| --- | --- | --- |
| 1 | 0.000 | -26.26 |
| 2 | 0.001 | -17.58 |
| 3 | 0.462 | -17.72 |
| 4 | 0.000 | -13.03 |
| 5 | 0.000 | -28.17 |
| 6 | 5.470 | -8.39 |